Version one
Rb2VRh2 | PBE | optimized geometry Values from VASP.

Quantum ESPRESSO input file:
```
&SYSTEM
  ibrav = 0, nat = 10, ntyp = 3
/
ATOMIC_SPECIES
Rb 85.47 Rb.upf
V 50.94 V.upf
Rh 102.91 Rh.upf
CELL_PARAMETERS angstrom
6.399 0.000 0.000
0.000 6.399 0.000
0.000 0.000 5.996
ATOMIC_POSITIONS crystal
Rb 0.180 0.320 0.000
Rb 0.320 0.820 0.000
Rb 0.680 0.180 0.000
Rb 0.820 0.680 0.000
V 0.000 0.000 0.500
V 0.500 0.500 0.500
Rh 0.143 0.643 0.500
Rh 0.357 0.143 0.500
Rh 0.643 0.857 0.500
Rh 0.857 0.357 0.500
```

Computed properties:
DOS(E_F) ... 5.7 states/eV per cell
Spin magnetization ... 0.35 μB/atom
SG ... P4/mbm

Version two
Rb2VRh2 | PBE | optimized geometry Values from VASP.

Quantum ESPRESSO input file:
```
&SYSTEM
  ibrav = 0, nat = 10, ntyp = 3
/
ATOMIC_SPECIES
Rb 85.47 Rb.upf
V 50.94 V.upf
Rh 102.91 Rh.upf
CELL_PARAMETERS angstrom
4.125 0.000 0.000
0.000 4.125 0.000
0.000 0.000 14.732
ATOMIC_POSITIONS crystal
Rb 0.000 0.500 0.250
Rb 0.000 0.500 0.750
Rb 0.500 0.000 0.250
Rb 0.500 0.000 0.750
V 0.000 0.000 0.000
V 0.500 0.500 0.500
Rh 0.000 0.000 0.418
Rh 0.000 0.000 0.582
Rh 0.500 0.500 0.082
Rh 0.500 0.500 0.918
```

Computed properties:
DOS(E_F) ... 21.6 states/eV per cell
Spin magnetization ... 0.39 μB/atom
SG ... I4/mmm

Least stable = version two

Version one
RbVRh2 | PBE | optimized geometry Values from VASP.

Quantum ESPRESSO input file:
```
&SYSTEM
  ibrav = 0, nat = 16, ntyp = 3
/
ATOMIC_SPECIES
Rb 85.47 Rb.upf
V 50.94 V.upf
Rh 102.91 Rh.upf
CELL_PARAMETERS angstrom
7.312 0.000 0.000
0.000 7.312 0.000
0.000 0.000 6.803
ATOMIC_POSITIONS crystal
Rb 0.000 0.000 0.000
Rb 0.000 0.500 0.250
Rb 0.500 0.000 0.750
Rb 0.500 0.500 0.500
V 0.000 0.000 0.500
V 0.000 0.500 0.750
V 0.500 0.000 0.250
V 0.500 0.500 0.000
Rh 0.159 0.250 0.625
Rh 0.250 0.659 0.875
Rh 0.250 0.841 0.375
Rh 0.341 0.250 0.125
Rh 0.659 0.750 0.125
Rh 0.750 0.159 0.375
Rh 0.750 0.341 0.875
Rh 0.841 0.750 0.625
```

Computed properties:
DOS(E_F) ... 8.9 states/eV per cell
Spin magnetization ... 0.00 μB/atom
SG ... I-42d

Version two
RbVRh2 | PBE | optimized geometry Values from VASP.

Quantum ESPRESSO input file:
```
&SYSTEM
  ibrav = 0, nat = 16, ntyp = 3
/
ATOMIC_SPECIES
Rb 85.47 Rb.upf
V 50.94 V.upf
Rh 102.91 Rh.upf
CELL_PARAMETERS angstrom
6.618 0.000 0.000
0.000 6.618 0.000
0.000 0.000 6.618
ATOMIC_POSITIONS crystal
Rb 0.000 0.000 0.000
Rb 0.000 0.500 0.500
Rb 0.500 0.000 0.500
Rb 0.500 0.500 0.000
V 0.000 0.000 0.500
V 0.000 0.500 0.000
V 0.500 0.000 0.000
V 0.500 0.500 0.500
Rh 0.250 0.250 0.250
Rh 0.250 0.250 0.750
Rh 0.250 0.750 0.250
Rh 0.250 0.750 0.750
Rh 0.750 0.250 0.250
Rh 0.750 0.250 0.750
Rh 0.750 0.750 0.250
Rh 0.750 0.750 0.750
```

Computed properties:
DOS(E_F) ... 22.0 states/eV per cell
Spin magnetization ... 0.38 μB/atom
SG ... Fm-3m

Least stable = version two

Version one
Rb2VRh | PBE | optimized geometry Values from VASP.

Quantum ESPRESSO input file:
```
&SYSTEM
  ibrav = 0, nat = 16, ntyp = 3
/
ATOMIC_SPECIES
Rb 85.47 Rb.upf
V 50.94 V.upf
Rh 102.91 Rh.upf
CELL_PARAMETERS angstrom
7.984 0.000 0.000
0.000 7.984 0.000
0.000 0.000 7.984
ATOMIC_POSITIONS crystal
Rb 0.250 0.250 0.250
Rb 0.250 0.250 0.750
Rb 0.250 0.750 0.250
Rb 0.250 0.750 0.750
Rb 0.750 0.250 0.250
Rb 0.750 0.250 0.750
Rb 0.750 0.750 0.250
Rb 0.750 0.750 0.750
V 0.000 0.000 0.000
V 0.000 0.500 0.500
V 0.500 0.000 0.500
V 0.500 0.500 0.000
Rh 0.000 0.000 0.500
Rh 0.000 0.500 0.000
Rh 0.500 0.000 0.000
Rh 0.500 0.500 0.500
```

Computed properties:
DOS(E_F) ... 37.0 states/eV per cell
Spin magnetization ... 0.99 μB/atom
SG ... Fm-3m

Version two
Rb2VRh | PBE | optimized geometry Values from VASP.

Quantum ESPRESSO input file:
```
&SYSTEM
  ibrav = 0, nat = 16, ntyp = 3
/
ATOMIC_SPECIES
Rb 85.47 Rb.upf
V 50.94 V.upf
Rh 102.91 Rh.upf
CELL_PARAMETERS angstrom
13.033 0.000 0.000
0.000 13.033 0.000
0.000 0.000 4.624
ATOMIC_POSITIONS crystal
Rb 0.068 0.250 0.125
Rb 0.250 0.568 0.375
Rb 0.250 0.932 0.875
Rb 0.432 0.250 0.625
Rb 0.568 0.750 0.625
Rb 0.750 0.068 0.875
Rb 0.750 0.432 0.375
Rb 0.932 0.750 0.125
V 0.000 0.000 0.500
V 0.000 0.500 0.750
V 0.500 0.000 0.250
V 0.500 0.500 0.000
Rh 0.000 0.000 0.000
Rh 0.000 0.500 0.250
Rh 0.500 0.000 0.750
Rh 0.500 0.500 0.500
```

Computed properties:
DOS(E_F) ... 27.0 states/eV per cell
Spin magnetization ... 0.78 μB/atom
SG ... I-42d

Least stable = version one

Version one
RbV2Rh | PBE | optimized geometry Values from VASP.

Quantum ESPRESSO input file:
```
&SYSTEM
  ibrav = 0, nat = 16, ntyp = 3
/
ATOMIC_SPECIES
Rb 85.47 Rb.upf
V 50.94 V.upf
Rh 102.91 Rh.upf
CELL_PARAMETERS angstrom
6.553 0.000 0.000
0.000 6.553 0.000
0.000 0.000 6.553
ATOMIC_POSITIONS crystal
Rb 0.000 0.000 0.000
Rb 0.000 0.500 0.500
Rb 0.500 0.000 0.500
Rb 0.500 0.500 0.000
V 0.250 0.250 0.250
V 0.250 0.250 0.750
V 0.250 0.750 0.250
V 0.250 0.750 0.750
V 0.750 0.250 0.250
V 0.750 0.250 0.750
V 0.750 0.750 0.250
V 0.750 0.750 0.750
Rh 0.000 0.000 0.500
Rh 0.000 0.500 0.000
Rh 0.500 0.000 0.000
Rh 0.500 0.500 0.500
```

Computed properties:
DOS(E_F) ... 20.3 states/eV per cell
Spin magnetization ... 0.71 μB/atom
SG ... Fm-3m

Version two
RbV2Rh | PBE | optimized geometry Values from VASP.

Quantum ESPRESSO input file:
```
&SYSTEM
  ibrav = 0, nat = 16, ntyp = 3
/
ATOMIC_SPECIES
Rb 85.47 Rb.upf
V 50.94 V.upf
Rh 102.91 Rh.upf
CELL_PARAMETERS angstrom
5.748 0.000 0.000
0.000 5.748 0.000
0.000 0.000 15.670
ATOMIC_POSITIONS crystal
Rb 0.000 0.250 0.375
Rb 0.000 0.750 0.625
Rb 0.500 0.250 0.125
Rb 0.500 0.750 0.875
V 0.000 0.000 0.000
V 0.000 0.500 0.000
V 0.250 0.250 0.750
V 0.250 0.750 0.250
V 0.500 0.000 0.500
V 0.500 0.500 0.500
V 0.750 0.250 0.750
V 0.750 0.750 0.250
Rh 0.000 0.250 0.875
Rh 0.000 0.750 0.125
Rh 0.500 0.250 0.625
Rh 0.500 0.750 0.375
```

Computed properties:
DOS(E_F) ... 24.3 states/eV per cell
Spin magnetization ... 1.64 μB/atom
SG ... I4_1/amd

Least stable = version one

Version one
Rb2RhW | PBE | optimized geometry Values from VASP.

Quantum ESPRESSO input file:
```
&SYSTEM
  ibrav = 0, nat = 16, ntyp = 3
/
ATOMIC_SPECIES
Rb 85.47 Rb.upf
Rh 102.91 Rh.upf
W 183.84 W.upf
CELL_PARAMETERS angstrom
7.997 0.000 0.000
0.000 7.997 0.000
0.000 0.000 7.997
ATOMIC_POSITIONS crystal
Rb 0.250 0.250 0.250
Rb 0.250 0.250 0.750
Rb 0.250 0.750 0.250
Rb 0.250 0.750 0.750
Rb 0.750 0.250 0.250
Rb 0.750 0.250 0.750
Rb 0.750 0.750 0.250
Rb 0.750 0.750 0.750
Rh 0.000 0.000 0.000
Rh 0.000 0.500 0.500
Rh 0.500 0.000 0.500
Rh 0.500 0.500 0.000
W 0.000 0.000 0.500
W 0.000 0.500 0.000
W 0.500 0.000 0.000
W 0.500 0.500 0.500
```

Computed properties:
DOS(E_F) ... 19.8 states/eV per cell
Spin magnetization ... 1.13 μB/atom
SG ... Fm-3m

Version two
Rb2RhW | PBE | optimized geometry Values from VASP.

Quantum ESPRESSO input file:
```
&SYSTEM
  ibrav = 0, nat = 16, ntyp = 3
/
ATOMIC_SPECIES
Rb 85.47 Rb.upf
Rh 102.91 Rh.upf
W 183.84 W.upf
CELL_PARAMETERS angstrom
12.882 0.000 0.000
0.000 12.882 0.000
0.000 0.000 4.764
ATOMIC_POSITIONS crystal
Rb 0.071 0.750 0.125
Rb 0.250 0.071 0.875
Rb 0.250 0.429 0.375
Rb 0.429 0.750 0.625
Rb 0.571 0.250 0.625
Rb 0.750 0.571 0.375
Rb 0.750 0.929 0.875
Rb 0.929 0.250 0.125
Rh 0.000 0.000 0.000
Rh 0.000 0.500 0.250
Rh 0.500 0.000 0.750
Rh 0.500 0.500 0.500
W 0.000 0.000 0.500
W 0.000 0.500 0.750
W 0.500 0.000 0.250
W 0.500 0.500 0.000
```

Computed properties:
DOS(E_F) ... 16.6 states/eV per cell
Spin magnetization ... 0.93 μB/atom
SG ... I-42d

Least stable = version one

Version one
RbRh2W | PBE | optimized geometry Values from VASP.

Quantum ESPRESSO input file:
```
&SYSTEM
  ibrav = 0, nat = 16, ntyp = 3
/
ATOMIC_SPECIES
Rb 85.47 Rb.upf
Rh 102.91 Rh.upf
W 183.84 W.upf
CELL_PARAMETERS angstrom
7.453 0.000 0.000
0.000 7.453 0.000
0.000 0.000 7.005
ATOMIC_POSITIONS crystal
Rb 0.000 0.000 0.000
Rb 0.000 0.500 0.250
Rb 0.500 0.000 0.750
Rb 0.500 0.500 0.500
Rh 0.169 0.250 0.625
Rh 0.250 0.669 0.875
Rh 0.250 0.831 0.375
Rh 0.331 0.250 0.125
Rh 0.669 0.750 0.125
Rh 0.750 0.169 0.375
Rh 0.750 0.331 0.875
Rh 0.831 0.750 0.625
W 0.000 0.000 0.500
W 0.000 0.500 0.750
W 0.500 0.000 0.250
W 0.500 0.500 0.000
```

Computed properties:
DOS(E_F) ... 18.0 states/eV per cell
Spin magnetization ... 0.00 μB/atom
SG ... I-42d

Version two
RbRh2W | PBE | optimized geometry Values from VASP.

Quantum ESPRESSO input file:
```
&SYSTEM
  ibrav = 0, nat = 16, ntyp = 3
/
ATOMIC_SPECIES
Rb 85.47 Rb.upf
Rh 102.91 Rh.upf
W 183.84 W.upf
CELL_PARAMETERS angstrom
6.628 0.000 0.000
0.000 6.628 0.000
0.000 0.000 6.628
ATOMIC_POSITIONS crystal
Rb 0.000 0.000 0.000
Rb 0.000 0.500 0.500
Rb 0.500 0.000 0.500
Rb 0.500 0.500 0.000
Rh 0.250 0.250 0.250
Rh 0.250 0.250 0.750
Rh 0.250 0.750 0.250
Rh 0.250 0.750 0.750
Rh 0.750 0.250 0.250
Rh 0.750 0.250 0.750
Rh 0.750 0.750 0.250
Rh 0.750 0.750 0.750
W 0.000 0.000 0.500
W 0.000 0.500 0.000
W 0.500 0.000 0.000
W 0.500 0.500 0.500
```

Computed properties:
DOS(E_F) ... 16.5 states/eV per cell
Spin magnetization ... 0.00 μB/atom
SG ... Fm-3m

Least stable = version two